(1)
AlSn2Mo2 | PBE | relaxed

```
AlSn2Mo2
1.0
6.871 0.000 0.000
0.000 6.871 0.000
0.000 0.000 4.041
Al Sn Mo
2 4 4
Cartesian
0.000 0.000 0.000
3.436 3.436 0.000
1.092 2.343 2.020
2.343 5.779 2.020
4.528 1.092 2.020
5.779 4.528 2.020
0.990 4.426 0.000
2.445 0.990 0.000
4.426 5.881 0.000
5.881 2.445 0.000
```

Computed properties:
ΔH_f (0 K), meV per atom: 185
N(E_F), states/eV/f.u.: 4.81

---

(2)
Al2SnMo2 | PBE | relaxed

```
Al2SnMo2
1.0
6.884 0.000 0.000
0.000 6.884 0.000
0.000 0.000 3.436
Al Sn Mo
4 2 4
Cartesian
0.864 2.578 0.000
2.578 6.020 0.000
4.306 0.864 0.000
6.020 4.306 0.000
0.000 0.000 0.000
3.442 3.442 0.000
1.190 4.632 1.718
2.252 1.190 1.718
4.632 5.694 1.718
5.694 2.252 1.718
```

Computed properties:
ΔH_f (0 K), meV per atom: 85
N(E_F), states/eV/f.u.: 0.57